Record 1
Density functional theory data (GGA-PBE) for an optimized crystal structure of HfZr2Ge2.

The total energy comes out at -7.6378 eV/atom. As for the spin magnetization: 0.002 μB/f.u.

abc: 6.7268 6.7268 6.7268
angles: 144.65 144.65 50.86
Fractional positions:
Zr  0.2500  0.7500  0.5000
Ge  0.4024  0.4024  0.0000
Ge  0.5976  0.5976  0.0000
Hf  0.0000  0.0000  0.0000
Zr  0.7500  0.2500  0.5000

***

Record 2
Density functional theory data (GGA-PBE) for an optimized crystal structure of HfZrGe2.

The total energy comes out at -6.8174 eV/atom. As for the spin magnetization: 0.017 μB/f.u.

abc: 4.7927 4.7927 4.7927
angles: 60.00 60.00 60.00
Fractional positions:
Ge  0.0000  0.0000  0.0000
Zr  0.5000  0.5000  0.5000
Ge  0.7500  0.7500  0.7500
Hf  0.2500  0.2500  0.2500

***

Record 3
Density functional theory data (GGA-PBE) for an optimized crystal structure of Hf5ZrGe2.

The total energy comes out at -7.4083 eV/atom. As for the spin magnetization: 0.727 μB/f.u.

abc: 6.5708 6.5708 4.6484
angles: 90.00 90.00 90.00
Site moments in Bohr magnetons follow the coordinates.
Fractional positions:
Hf  0.0000  0.0000  0.5000  0.09
Ge  0.0000  0.5000  0.5000  0.00
Hf  0.7195  0.2805  0.0000  0.11
Hf  0.2805  0.7195  0.0000  0.11
Hf  0.7195  0.7195  0.0000  0.11
Ge  0.5000  0.0000  0.5000  -0.01
Hf  0.2805  0.2805  0.0000  0.11
Zr  0.0000  0.0000  0.0000  -0.02

***

Record 4
Density functional theory data (GGA-PBE) for an optimized crystal structure of Ho2HgGe4O12.

The total energy comes out at -6.6444 eV/atom. As for the spin magnetization: 0.005 μB/f.u.

abc: 5.0966 7.1505 7.9180
angles: 68.04 88.23 79.72
Fractional positions:
O  0.8014  0.5664  0.3920
O  0.2649  0.7368  0.2219
O  0.7138  0.6982  0.9908
Ho  0.9519  0.2318  0.5394
O  0.7271  0.2578  0.7771
O  0.2067  0.0698  0.3789
O  0.5987  0.3327  0.2888
O  0.2790  0.2969  0.0082
O  0.7170  0.9673  0.2265
O  0.7855  0.9253  0.6198
Ge  0.5407  0.8359  0.7735
O  0.3940  0.6623  0.7101
Hg  0.9970  0.9987  0.9998
Ge  0.5826  0.6093  0.2127
Ge  0.4519  0.1592  0.2257
Ge  0.4099  0.3859  0.7863
O  0.1906  0.4285  0.6073
O  0.2751  0.0275  0.7725
Ho  0.0405  0.7631  0.4596

***

Record 5
Density functional theory data (GGA-PBE) for an optimized crystal structure of Li4InHg2Ge.

The total energy comes out at -2.2564 eV/atom.

abc: 4.6356 4.6356 6.7110
angles: 90.00 90.00 90.00
Fractional positions:
Li  0.5000  0.0000  0.7684
Li  0.5000  0.5000  0.0000
Ge  0.0000  0.0000  0.0000
Li  0.0000  0.0000  0.5000
Hg  0.0000  0.5000  0.7573
Hg  0.5000  0.0000  0.2427
Li  0.0000  0.5000  0.2316
In  0.5000  0.5000  0.5000

***

Record 6
Density functional theory data (GGA-PBE) for an optimized crystal structure of InHg3GeSe4.

The total energy comes out at -2.5363 eV/atom.

abc: 7.1314 7.3619 10.5040
angles: 90.00 106.40 90.00
Fractional positions:
Se  0.3201  0.2500  0.4011
Hg  0.2497  0.9455  0.5211
Se  0.8904  0.2500  0.9233
Se  0.1096  0.7500  0.0767
Hg  0.2497  0.5545  0.5211
Se  0.6799  0.7500  0.5989
Se  0.7541  0.0166  0.2170
Ge  0.0095  0.2500  0.7255
Se  0.2459  0.5166  0.7830
Hg  0.7503  0.0545  0.4789
Hg  0.7503  0.4455  0.4789
In  0.3098  0.2500  0.1203
Ge  0.9905  0.7500  0.2745
Se  0.2459  0.9834  0.7830
Hg  0.4837  0.7500  0.1595
Hg  0.5163  0.2500  0.8405
Se  0.7541  0.4834  0.2170
In  0.6902  0.7500  0.8797

***

Record 7
Density functional theory data (GGA-PBE) for an optimized crystal structure of InHg3GeSe4.

The total energy comes out at -2.5206 eV/atom.

abc: 6.6918 6.6918 6.6918
angles: 90.00 90.00 90.00
Fractional positions:
Hg  0.5000  0.0000  0.5000
Hg  0.5000  0.5000  0.0000
Se  0.2667  0.2667  0.2667
In  0.0000  0.0000  0.0000
Se  0.7333  0.7333  0.2667
Se  0.2667  0.7333  0.7333
Se  0.7333  0.2667  0.7333
Ge  0.5000  0.5000  0.5000
Hg  0.0000  0.5000  0.5000

***

Record 8
Density functional theory data (GGA-PBE) for an optimized crystal structure of HgGe2Ir.

The total energy comes out at -4.1037 eV/atom. As for the spin magnetization: 0.004 μB/f.u.

abc: 4.6840 4.6840 4.6840
angles: 60.00 60.00 60.00
Fractional positions:
Ge  0.0000  0.0000  0.0000
Ge  0.2500  0.2500  0.2500
Hg  0.7500  0.7500  0.7500
Ir  0.5000  0.5000  0.5000